[1]
A plane-wave DFT calculation with GGA-PBE was carried out for Mg3As2 after structural relaxation.

a = 13.7959 Å, b = 15.4705 Å, c = 4.4473 Å
α = 90.00°, β = 90.00°, γ = 90.00°
Closest atoms and distances in Å follow each position.
Space group Fdd2 (No. 43)
One atom of each set of equivalent atoms:
Mg 0.0000 0.0000 0.0000  4 As 2.69-2.85
Mg 0.0141 0.1774 0.4404  4 As 2.67-2.69
As 0.0927 0.3363 0.4423  6 Mg 2.67-2.85

Output
* DFT total energy: -3.345 eV/atom
* polymorph energy (0 for the lowest one): 0.105 eV/atom
* total magnetic moment: 0.000 μB/f.u.

=====

[2]
A plane-wave DFT calculation with GGA-PBE was carried out for MgAs2 after structural relaxation.

a = 3.0519 Å, b = 3.0519 Å, c = 8.0537 Å
α = 90.00°, β = 90.00°, γ = 120.00°
Closest atoms and distances in Å follow each position.
Space group P-3m1 (No. 164)
One atom of each set of equivalent atoms:
Mg 0.0000 0.0000 0.0000  6 As 2.82, 6 Mg 3.05
As 0.3333 0.6667 0.2731  3 Mg 2.82, 6 As 3.05

Output
* DFT total energy: -3.596 eV/atom
* total magnetic moment: 0.000 μB/f.u.

=====

[3]
A plane-wave DFT calculation with GGA-PBE was carried out for MgAs2 after structural relaxation.

a = 3.8908 Å, b = 3.8908 Å, c = 32.6358 Å
α = 90.00°, β = 90.00°, γ = 90.00°
Closest atoms and distances in Å follow each position.
Space group I4_1/amd (No. 141, origin choice 2)
One atom of each set of equivalent atoms:
Mg 0.0000 0.2500 0.3065  8 As 2.84-3.09
As 0.0000 0.2500 0.1199  4 As 2.77, 4 Mg 2.84-3.09
As 0.0000 0.2500 0.7764  2 As 2.60

Output
* DFT total energy: -3.764 eV/atom
* total magnetic moment: 0.000 μB/f.u.

=====

[4]
A plane-wave DFT calculation with GGA-PBE was carried out for Mg8As after structural relaxation.

a = 9.5901 Å, b = 9.5901 Å, c = 4.3279 Å
α = 90.00°, β = 90.00°, γ = 90.00°
Closest atoms and distances in Å follow each position.
Space group I4/mmm (No. 139)
One atom of each set of equivalent atoms:
Mg 0.0000 0.3322 0.0000  11 Mg 3.12-3.23, 1 As 3.19
Mg 0.1635 0.1635 0.5000  2 As 3.10, 10 Mg 3.12-3.23
As 0.0000 0.0000 0.0000  12 Mg 3.10-3.19

Output
* DFT total energy: -1.992 eV/atom
* total magnetic moment: 0.000 μB/f.u.

=====

[5]
A plane-wave DFT calculation with GGA-PBE was carried out for MgAs3 after structural relaxation.

a = 2.9348 Å, b = 3.7029 Å, c = 7.3995 Å
α = 90.00°, β = 90.00°, γ = 90.00°
Closest atoms and distances in Å follow each position.
Space group Pmmm (No. 47)
One atom of each set of equivalent atoms:
Mg 0.0000 0.0000 0.0000  8 As 2.91, 2 Mg 2.93
As 0.5000 0.0000 0.5000  6 As 2.72-2.93
As 0.5000 0.5000 0.2302  4 As 2.72-2.93, 4 Mg 2.91

Output
* DFT total energy: -3.940 eV/atom
* total magnetic moment: 0.000 μB/f.u.

=====

[6]
A plane-wave DFT calculation with GGA-PBE was carried out for MgAs2 after structural relaxation.

a = 4.2401 Å, b = 4.2401 Å, c = 8.8504 Å
α = 90.00°, β = 90.00°, γ = 120.00°
Closest atoms and distances in Å follow each position.
Space group P6_3/mmc (No. 194)
One atom of each set of equivalent atoms:
Mg 0.0000 0.0000 0.2500  6 As 2.77
As 0.3333 0.6667 0.1037  1 As 2.59, 3 Mg 2.77

Output
* DFT total energy: -3.657 eV/atom
* total magnetic moment: 0.000 μB/f.u.

=====

[7]
A plane-wave DFT calculation with GGA-PBE was carried out for MgAs2 after structural relaxation.

a = 3.0793 Å, b = 3.9628 Å, c = 10.7314 Å
α = 90.00°, β = 90.00°, γ = 90.00°
Closest atoms and distances in Å follow each position.
Space group Immm (No. 71)
One atom of each set of equivalent atoms:
Mg 0.0000 0.0000 0.0000  8 As 2.83, 2 Mg 3.08
As 0.0000 0.0000 0.3784  1 As 2.61, 4 Mg 2.83

Output
* DFT total energy: -3.737 eV/atom
* total magnetic moment: 0.000 μB/f.u.

=====

[8]
A plane-wave DFT calculation with GGA-PBE was carried out for MgAs3 after structural relaxation.

a = 4.2803 Å, b = 4.2803 Å, c = 8.5571 Å
α = 90.00°, β = 90.00°, γ = 90.00°
Closest atoms and distances in Å follow each position.
Space group I4/mmm (No. 139)
One atom of each set of equivalent atoms:
Mg 0.0000 0.0000 0.0000  12 As 3.03
As 0.0000 0.0000 0.5000  8 As 3.03, 4 Mg 3.03
As 0.0000 0.5000 0.2500  4 Mg 3.03, 8 As 3.03

Output
* DFT total energy: -3.758 eV/atom
* total magnetic moment: 0.000 μB/f.u.

=====

[9]
A plane-wave DFT calculation with GGA-PBE was carried out for MgAs3 after structural relaxation.

a = 5.0050 Å, b = 5.0050 Å, c = 5.0050 Å
α = 90.00°, β = 90.00°, γ = 90.00°
Closest atoms and distances in Å follow each position.
Space group Pm-3m (No. 221)
One atom of each set of equivalent atoms:
Mg 0.0000 0.0000 0.0000  6 As 2.50
As 0.0000 0.0000 0.5000  2 Mg 2.50

Output
* DFT total energy: -3.023 eV/atom
* total magnetic moment: 0.000 μB/f.u.

=====

[10]
A plane-wave DFT calculation with GGA-PBE was carried out for MgAs3 after structural relaxation.

a = 5.8730 Å, b = 7.1923 Å, c = 3.6956 Å
α = 90.00°, β = 90.00°, γ = 90.00°
Closest atoms and distances in Å follow each position.
Space group Cmmm (No. 65)
One atom of each set of equivalent atoms:
Mg 0.0000 0.0000 0.0000  10 As 2.94-2.97
As 0.0000 0.5000 0.0000  2 Mg 2.94, 8 As 2.97
As 0.2500 0.2500 0.5000  6 As 2.94-2.97, 4 Mg 2.97

Output
* DFT total energy: -3.811 eV/atom
* total magnetic moment: 0.000 μB/f.u.

=====

[11]
A plane-wave DFT calculation with GGA-PBE was carried out for MgAs3 after structural relaxation.

a = 3.0442 Å, b = 3.0442 Å, c = 29.0628 Å
α = 90.00°, β = 90.00°, γ = 120.00°
Closest atoms and distances in Å follow each position.
Space group R-3m (No. 166, hexagonal axes)
One atom of each set of equivalent atoms:
Mg 0.0000 0.0000 0.0000  6 As 2.88, 6 Mg 3.04
As 0.0000 0.0000 0.2549  3 Mg 2.88, 9 As 3.04-3.11
As 0.0000 0.0000 0.5000  12 As 3.04-3.11

Output
* DFT total energy: -3.686 eV/atom
* total magnetic moment: 0.000 μB/f.u.

=====

[12]
A plane-wave DFT calculation with GGA-PBE was carried out for MgAs2 after structural relaxation.

a = 4.8283 Å, b = 4.8283 Å, c = 5.8243 Å
α = 90.00°, β = 90.00°, γ = 120.00°
Closest atoms and distances in Å follow each position.
Space group P6_3/mmc (No. 194)
One atom of each set of equivalent atoms:
Mg 0.3333 0.6667 0.2500  5 As 2.79-2.91
As 0.0000 0.0000 0.0000  8 As 2.91-3.14, 6 Mg 3.14
As 0.3333 0.6667 0.7500  5 Mg 2.79-2.91

Output
* DFT total energy: -3.602 eV/atom
* total magnetic moment: 0.000 μB/f.u.

=====

[13]
A plane-wave DFT calculation with GGA-PBE was carried out for Mg3As2 after structural relaxation.

a = 6.8837 Å, b = 6.8837 Å, c = 16.8498 Å
α = 90.00°, β = 90.00°, γ = 120.00°
Closest atoms and distances in Å follow each position.
Space group R-3c (No. 167, hexagonal axes)
One atom of each set of equivalent atoms:
Mg 0.0000 0.2756 0.2500  4 As 2.64-2.76
As 0.0000 0.0000 0.1314  6 Mg 2.64-2.76

Output
* DFT total energy: -3.394 eV/atom
* polymorph energy (0 for the lowest one): 0.056 eV/atom
* total magnetic moment: 0.000 μB/f.u.